Entry 1:
# LiCoSiO4

LiCoSiO4 after structural relaxation (PBE with a Hubbard U, Alexandria via LeMat-Bulk).

The structure in CIF format:
```
data_LiCoSiO4
_cell_length_a 10.1704
_cell_length_b 5.8113
_cell_length_c 4.7705
_cell_angle_alpha 90.00
_cell_angle_beta 90.00
_cell_angle_gamma 90.00
_space_group_name_H-M_alt 'P n m a'
_space_group_IT_number 62
loop_
_space_group_symop_operation_xyz
'x,y,z'
'-x,-y,-z'
'-x+1/2,-y,z+1/2'
'x+1/2,y,-z+1/2'
'x+1/2,-y+1/2,-z+1/2'
'-x+1/2,y+1/2,z+1/2'
'-x,y+1/2,-z'
'x,-y+1/2,z'
loop_
_atom_site_label
_atom_site_type_symbol
_atom_site_fract_x
_atom_site_fract_y
_atom_site_fract_z
Li1 Li 0.0000 0.0000 0.0000
Co1 Co 0.2235 0.2500 0.4828
Si1 Si 0.0947 0.7500 0.4449
O1 O 0.0542 0.2500 0.6872
O2 O 0.1013 0.7500 0.7845
O3 O 0.1730 0.5319 0.2880
```

Values from the calculation:
VASP energy in eV/atom: -6.567
Calculated volume in Å³ per atom: 10.07
Energy above the most stable polymorph in this dataset in meV/atom: 42


Entry 2:
# Li2Co2SiO6

Li2Co2SiO6 after structural relaxation (PBE with a Hubbard U, Alexandria via LeMat-Bulk).

The structure in CIF format:
```
data_Li2Co2SiO6
_cell_length_a 8.2920
_cell_length_b 5.1151
_cell_length_c 9.9813
_cell_angle_alpha 90.00
_cell_angle_beta 90.00
_cell_angle_gamma 90.00
_space_group_name_H-M_alt 'C m c e'
_space_group_IT_number 64
_space_group_name_Hall '-C 2ac 2'
loop_
_atom_site_label
_atom_site_type_symbol
_atom_site_fract_x
_atom_site_fract_y
_atom_site_fract_z
Li1 Li 0.2500 0.1448 0.2500
Co1 Co 0.1668 0.0000 0.0000
Si1 Si 0.0000 0.0000 0.5000
O1 O 0.0000 0.1885 0.9095
O2 O 0.1599 0.1274 0.6060
```

Values from the calculation:
VASP energy in eV/atom: -6.160
Calculated volume in Å³ per atom: 9.62


Entry 3:
# LiCoSiO4

LiCoSiO4 after structural relaxation (PBE with a Hubbard U, Alexandria via LeMat-Bulk).

The structure in CIF format:
```
data_LiCoSiO4
_cell_length_a 8.7259
_cell_length_b 5.5880
_cell_length_c 8.7344
_cell_angle_alpha 90.00
_cell_angle_beta 108.97
_cell_angle_gamma 90.00
_space_group_name_H-M_alt 'C 1 c 1'
_space_group_IT_number 9
loop_
_space_group_symop_operation_xyz
'x,y,z'
'x,-y,z+1/2'
'x+1/2,y+1/2,z'
'x+1/2,-y+1/2,z+1/2'
loop_
_atom_site_label
_atom_site_type_symbol
_atom_site_fract_x
_atom_site_fract_y
_atom_site_fract_z
Li1 Li 0.0000 0.0236 0.0000
Co1 Co 0.1832 0.2744 0.7846
Si1 Si 0.3046 0.2422 0.1708
O1 O 0.1721 0.4268 0.2031
O2 O 0.2201 0.0245 0.6611
O3 O 0.3345 0.2955 0.9970
O4 O 0.4795 0.2845 0.3143
```

Values from the calculation:
VASP energy in eV/atom: -6.555
Calculated volume in Å³ per atom: 14.38
Energy above the most stable polymorph in this dataset in meV/atom: 54


Entry 4:
# LiCoSiO4

LiCoSiO4 after structural relaxation (PBE with a Hubbard U, Alexandria via LeMat-Bulk).

The structure in CIF format:
```
data_LiCoSiO4
_cell_length_a 5.4951
_cell_length_b 8.1076
_cell_length_c 6.2611
_cell_angle_alpha 90.00
_cell_angle_beta 90.00
_cell_angle_gamma 90.00
_space_group_name_H-M_alt 'C m c m'
_space_group_IT_number 63
_space_group_name_Hall '-C 2c 2'
loop_
_atom_site_label
_atom_site_type_symbol
_atom_site_fract_x
_atom_site_fract_y
_atom_site_fract_z
Li1 Li 0.0000 0.1729 0.2500
Co1 Co 0.0000 0.5000 0.0000
Si1 Si 0.0000 0.1529 0.7500
O1 O 0.0000 0.2698 0.5367
O2 O 0.2403 0.0282 0.7500
```

Values from the calculation:
VASP energy in eV/atom: -6.566
Calculated volume in Å³ per atom: 9.96
Energy above the most stable polymorph in this dataset in meV/atom: 43


Entry 5:
# LiCoSiO4

LiCoSiO4 after structural relaxation (PBE with a Hubbard U, Alexandria via LeMat-Bulk).

The structure in CIF format:
```
data_LiCoSiO4
_cell_length_a 13.7243
_cell_length_b 13.7243
_cell_length_c 9.4473
_cell_angle_alpha 90.00
_cell_angle_beta 90.00
_cell_angle_gamma 120.00
_space_group_name_H-M_alt 'R -3'
_space_group_IT_number 148
_space_group_name_Hall '-R 3'
loop_
_atom_site_label
_atom_site_type_symbol
_atom_site_fract_x
_atom_site_fract_y
_atom_site_fract_z
Li1 Li 0.0170 0.2121 0.2534
Co1 Co 0.0184 0.2097 0.9111
Si1 Si 0.0196 0.2108 0.5764
O1 O 0.0058 0.3212 0.5642
O2 O 0.0719 0.2022 0.7280
O3 O 0.0817 0.2103 0.0748
O4 O 0.0970 0.2056 0.4429
```

Values from the calculation:
VASP energy in eV/atom: -6.575
Calculated volume in Å³ per atom: 12.23
Energy above the most stable polymorph in this dataset in meV/atom: 34


Entry 6:
# LiCoSiO4

LiCoSiO4 after structural relaxation (PBE with a Hubbard U, Alexandria via LeMat-Bulk).

The structure in CIF format:
```
data_LiCoSiO4
_cell_length_a 4.4957
_cell_length_b 4.4957
_cell_length_c 8.5685
_cell_angle_alpha 90.00
_cell_angle_beta 90.00
_cell_angle_gamma 90.00
_space_group_name_H-M_alt 'I -4'
_space_group_IT_number 82
loop_
_space_group_symop_operation_xyz
'x,y,z'
'y,-x,-z'
'-x,-y,z'
'-y,x,-z'
'x+1/2,y+1/2,z+1/2'
'y+1/2,-x+1/2,-z+1/2'
'-x+1/2,-y+1/2,z+1/2'
'-y+1/2,x+1/2,-z+1/2'
loop_
_atom_site_label
_atom_site_type_symbol
_atom_site_fract_x
_atom_site_fract_y
_atom_site_fract_z
Li1 Li 0.0000 0.0000 0.0000
Co1 Co 0.0000 0.5000 0.2500
Si1 Si 0.0000 0.0000 0.5000
O1 O 0.1824 0.2448 0.3925
```

Values from the calculation:
VASP energy in eV/atom: -6.567
Calculated volume in Å³ per atom: 12.37
Energy above the most stable polymorph in this dataset in meV/atom: 42


Entry 7:
# LiCoSiO4

LiCoSiO4 after structural relaxation (PBE with a Hubbard U, Alexandria via LeMat-Bulk).

The structure in CIF format:
```
data_LiCoSiO4
_cell_length_a 7.8486
_cell_length_b 5.3956
_cell_length_c 8.5147
_cell_angle_alpha 90.00
_cell_angle_beta 105.13
_cell_angle_gamma 90.00
_space_group_name_H-M_alt 'P 1 c 1'
_space_group_IT_number 7
loop_
_space_group_symop_operation_xyz
'x,y,z'
'x,-y,z+1/2'
loop_
_atom_site_label
_atom_site_type_symbol
_atom_site_fract_x
_atom_site_fract_y
_atom_site_fract_z
Li1 Li 0.0000 0.1612 0.0000
Li2 Li 0.5017 0.3317 0.6918
Co1 Co 0.1022 0.3564 0.3683
Co2 Co 0.6219 0.1748 0.0688
Si1 Si 0.3869 0.1686 0.3168
Si2 Si 0.8703 0.3241 0.6166
O1 O 0.0175 0.3354 0.7971
O2 O 0.1807 0.1782 0.2027
O3 O 0.3508 0.3209 0.4736
O4 O 0.4652 0.1131 0.8681
O5 O 0.5230 0.3086 0.2281
O6 O 0.7055 0.1496 0.6341
O7 O 0.8113 0.3864 0.0666
O8 O 0.9626 0.2008 0.4815
```

Values from the calculation:
VASP energy in eV/atom: -6.553
Calculated volume in Å³ per atom: 12.43
Energy above the most stable polymorph in this dataset in meV/atom: 56


Entry 8:
# Li2CoSi2O6

Li2CoSi2O6 after structural relaxation (PBE with a Hubbard U, Alexandria via LeMat-Bulk).

The structure in CIF format:
```
data_Li2CoSi2O6
_cell_length_a 5.4749
_cell_length_b 4.7687
_cell_length_c 9.7150
_cell_angle_alpha 90.00
_cell_angle_beta 92.83
_cell_angle_gamma 90.00
_space_group_name_H-M_alt 'P 1 21 1'
_space_group_IT_number 4
loop_
_space_group_symop_operation_xyz
'x,y,z'
'-x,y+1/2,-z'
loop_
_atom_site_label
_atom_site_type_symbol
_atom_site_fract_x
_atom_site_fract_y
_atom_site_fract_z
Li1 Li 0.1521 0.0000 0.3346
Li2 Li 0.3384 0.4999 0.4883
Co1 Co 0.2718 0.5069 0.1478
Si1 Si 0.1875 0.9965 0.6611
Si2 Si 0.3685 0.4938 0.8245
O1 O 0.0983 0.4105 0.3233
O2 O 0.2100 0.3462 0.6858
O3 O 0.2303 0.4179 0.9590
O4 O 0.3009 0.9180 0.5159
O5 O 0.3494 0.9011 0.1874
O6 O 0.3631 0.8404 0.7858
```

Values from the calculation:
VASP energy in eV/atom: -6.788
Calculated volume in Å³ per atom: 11.51
Energy above the most stable polymorph in this dataset in meV/atom: 61


Entry 9:
# LiCoSiO4

LiCoSiO4 after structural relaxation (PBE with a Hubbard U, Alexandria via LeMat-Bulk).

The structure in CIF format:
```
data_LiCoSiO4
_cell_length_a 8.2228
_cell_length_b 5.2932
_cell_length_c 8.4536
_cell_angle_alpha 90.00
_cell_angle_beta 105.34
_cell_angle_gamma 90.00
_space_group_name_H-M_alt 'P 1 c 1'
_space_group_IT_number 7
loop_
_space_group_symop_operation_xyz
'x,y,z'
'x,-y,z+1/2'
loop_
_atom_site_label
_atom_site_type_symbol
_atom_site_fract_x
_atom_site_fract_y
_atom_site_fract_z
Li1 Li 0.0000 0.1601 0.0000
Li2 Li 0.5296 0.3298 0.6904
Co1 Co 0.3992 0.1765 0.2996
Co2 Co 0.8978 0.3290 0.6303
Si1 Si 0.2767 0.3289 0.9239
Si2 Si 0.7695 0.1726 0.2515
O1 O 0.0824 0.3095 0.8084
O2 O 0.2477 0.2126 0.0952
O3 O 0.3577 0.3847 0.4606
O4 O 0.4059 0.1670 0.8425
O5 O 0.5944 0.3149 0.2589
O6 O 0.7339 0.1254 0.6942
O7 O 0.8526 0.3235 0.1206
O8 O 0.9055 0.1781 0.4356
```

Values from the calculation:
VASP energy in eV/atom: -6.588
Calculated volume in Å³ per atom: 12.67
Energy above the most stable polymorph in this dataset in meV/atom: 21


Entry 10:
# LiCoSi2O6

LiCoSi2O6 after structural relaxation (PBE with a Hubbard U, Alexandria via LeMat-Bulk).

The structure in CIF format:
```
data_LiCoSi2O6
_cell_length_a 7.3751
_cell_length_b 7.3093
_cell_length_c 10.4313
_cell_angle_alpha 90.00
_cell_angle_beta 109.51
_cell_angle_gamma 90.00
_space_group_name_H-M_alt 'C 1 c 1'
_space_group_IT_number 9
loop_
_space_group_symop_operation_xyz
'x,y,z'
'x,-y,z+1/2'
'x+1/2,y+1/2,z'
'x+1/2,-y+1/2,z+1/2'
loop_
_atom_site_label
_atom_site_type_symbol
_atom_site_fract_x
_atom_site_fract_y
_atom_site_fract_z
Li1 Li 0.0000 0.1031 0.0000
Co1 Co 0.1490 0.1336 0.3259
Si1 Si 0.2676 0.4316 0.1702
Si2 Si 0.4220 0.1736 0.9991
O1 O 0.0468 0.1589 0.4665
O2 O 0.0592 0.4661 0.6136
O3 O 0.2589 0.2596 0.0620
O4 O 0.2960 0.3417 0.3198
O5 O 0.3080 0.0639 0.8606
O6 O 0.4400 0.4277 0.6710
```

Values from the calculation:
VASP energy in eV/atom: -6.978
Calculated volume in Å³ per atom: 13.25
Energy above the most stable polymorph in this dataset in meV/atom: 0


Entry 11:
# Li5Co4Si6O20

Li5Co4Si6O20 after structural relaxation (PBE with a Hubbard U, Alexandria via LeMat-Bulk).

The structure in CIF format:
```
data_Li5Co4Si6O20
_cell_length_a 5.3742
_cell_length_b 5.4073
_cell_length_c 16.4677
_cell_angle_alpha 90.31
_cell_angle_beta 93.47
_cell_angle_gamma 118.75
_space_group_name_H-M_alt 'P 1'
_space_group_IT_number 1
loop_
_space_group_symop_operation_xyz
'x,y,z'
loop_
_atom_site_label
_atom_site_type_symbol
_atom_site_fract_x
_atom_site_fract_y
_atom_site_fract_z
Li1 Li 0.0000 0.0000 0.0000
Li2 Li 0.0129 0.6674 0.8895
Li3 Li 0.0529 0.1876 0.4905
Li4 Li 0.2088 0.8116 0.2281
Li5 Li 0.9348 0.9090 0.6819
Co1 Co 0.3151 0.3348 0.8546
Co2 Co 0.3980 0.1776 0.3635
Co3 Co 0.6720 0.3218 0.0186
Co4 Co 0.7520 0.5305 0.5217
Si1 Si 0.3477 0.6593 0.0451
Si2 Si 0.4040 0.8673 0.5360
Si3 Si 0.5331 0.2156 0.6910
Si4 Si 0.5387 0.4719 0.1926
Si5 Si 0.6635 0.0099 0.8487
Si6 Si 0.7336 0.8252 0.3404
O1 O 0.0164 0.0951 0.3793
O2 O 0.0534 0.6608 0.0127
O3 O 0.1193 0.5707 0.5081
O4 O 0.2950 0.2378 0.7406
O5 O 0.3374 0.9469 0.6257
O6 O 0.3424 0.2232 0.2514
O7 O 0.3484 0.6073 0.1454
O8 O 0.3535 0.3866 0.9996
O9 O 0.3680 0.7185 0.8546
O10 O 0.4376 0.1424 0.4821
O11 O 0.4563 0.8718 0.3307
O12 O 0.6300 0.9518 0.0251
O13 O 0.6562 0.2824 0.8970
O14 O 0.6638 0.5509 0.3980
O15 O 0.6843 0.3629 0.1285
O16 O 0.7083 0.8668 0.5384
O17 O 0.7170 0.1059 0.7517
O18 O 0.7384 0.4911 0.6412
O19 O 0.7978 0.7309 0.2502
O20 O 0.9481 0.9917 0.8804
```

Values from the calculation:
VASP energy in eV/atom: -6.717
Calculated volume in Å³ per atom: 11.96


Entry 12:
# LiCoSiO4

LiCoSiO4 after structural relaxation (PBE with a Hubbard U, Alexandria via LeMat-Bulk).

The structure in CIF format:
```
data_LiCoSiO4
_cell_length_a 10.1820
_cell_length_b 6.1160
_cell_length_c 4.7143
_cell_angle_alpha 90.00
_cell_angle_beta 90.00
_cell_angle_gamma 90.00
_space_group_name_H-M_alt 'P n m a'
_space_group_IT_number 62
loop_
_space_group_symop_operation_xyz
'x,y,z'
'-x,-y,-z'
'-x+1/2,-y,z+1/2'
'x+1/2,y,-z+1/2'
'x+1/2,-y+1/2,-z+1/2'
'-x+1/2,y+1/2,z+1/2'
'-x,y+1/2,-z'
'x,-y+1/2,z'
loop_
_atom_site_label
_atom_site_type_symbol
_atom_site_fract_x
_atom_site_fract_y
_atom_site_fract_z
Li1 Li 0.2224 0.2500 0.0538
Co1 Co 0.0000 0.0000 0.5000
Si1 Si 0.0888 0.7500 0.0954
O1 O 0.0592 0.2500 0.7329
O2 O 0.0895 0.7500 0.7536
O3 O 0.1459 0.5250 0.2456
```

Values from the calculation:
VASP energy in eV/atom: -6.555
Calculated volume in Å³ per atom: 10.48
Energy above the most stable polymorph in this dataset in meV/atom: 54


Entry 13:
# Li2CoSi4O10

Li2CoSi4O10 after structural relaxation (PBE with a Hubbard U, Alexandria via LeMat-Bulk).

The structure in CIF format:
```
data_Li2CoSi4O10
_cell_length_a 6.8174
_cell_length_b 7.6918
_cell_length_c 9.5657
_cell_angle_alpha 102.96
_cell_angle_beta 102.02
_cell_angle_gamma 114.86
_space_group_name_H-M_alt 'P -1'
_space_group_IT_number 2
loop_
_space_group_symop_operation_xyz
'x,y,z'
'-x,-y,-z'
loop_
_atom_site_label
_atom_site_type_symbol
_atom_site_fract_x
_atom_site_fract_y
_atom_site_fract_z
Li1 Li 0.1669 0.2729 0.4483
Li2 Li 0.2678 0.7337 0.9576
Co1 Co 0.2878 0.1839 0.0826
Si1 Si 0.1502 0.8466 0.2214
Si2 Si 0.2742 0.1385 0.7331
Si3 Si 0.3031 0.5643 0.3187
Si4 Si 0.3570 0.7927 0.6465
O1 O 0.0372 0.1518 0.6969
O2 O 0.1063 0.8773 0.0583
O3 O 0.1498 0.6265 0.2022
O4 O 0.1829 0.8939 0.6325
O5 O 0.2287 0.3271 0.2575
O6 O 0.2586 0.6001 0.4848
O7 O 0.3799 0.7261 0.7926
O8 O 0.3977 0.0279 0.3486
O9 O 0.4130 0.2055 0.9101
O10 O 0.4187 0.2830 0.6447
```

Values from the calculation:
VASP energy in eV/atom: -7.170
Calculated volume in Å³ per atom: 12.26